Here is crystalline TmPaBiN2 at its relaxed geometry from Alexandria. Energies are from PBE.

```
5
Lattice="-1.972 1.972 6.694 1.972 -1.972 6.694 1.972 1.972 -6.694" Properties=species:S:1:pos:R:3 pbc="T T T"
Tm 0.000 0.000 0.000
Pa 0.000 0.000 4.615
Bi 0.000 0.000 8.960
N 1.972 0.000 5.567
N 0.000 1.972 5.567
```

Calculated values
Total moment (Bohr magnetons per cell): 0.00
Formation energy from raw total energies (kJ/mol of atoms): -139

Here is crystalline AgBOs3 at its relaxed geometry from Alexandria. Energies are from PBE.

```
5
Lattice="4.126 0.000 0.000 0.000 4.126 0.000 0.000 0.000 4.126" Properties=species:S:1:pos:R:3 pbc="T T T"
Ag 0.000 0.000 0.000
B 2.063 2.063 2.063
Os 0.000 2.063 2.063
Os 2.063 0.000 2.063
Os 2.063 2.063 0.000
```

Calculated values
Total moment (Bohr magnetons per cell): 0.95
Calculated formation energy (meV/atom): 675
Energy relative to the lowest polymorph listed for this composition (eV/atom): 0.0000

Here is crystalline Na3SrZr at its relaxed geometry from Alexandria. Energies are from PBE.

```
5
Lattice="6.012 0.000 0.000 0.000 6.012 0.000 0.000 0.000 6.012" Properties=species:S:1:pos:R:3 pbc="T T T"
Na 0.000 0.000 3.006
Na 0.000 3.006 0.000
Na 3.006 0.000 0.000
Sr 3.006 3.006 3.006
Zr 0.000 0.000 0.000
```

Calculated values
Total moment (Bohr magnetons per cell): 3.80
Calculated formation energy (meV/atom): 931
Energy relative to the lowest polymorph listed for this composition (eV/atom): 0.0000

Here is crystalline ZnSbI2O at its relaxed geometry from Alexandria. Energies are from PBE.

```
5
Lattice="5.854 0.000 0.000 0.000 5.854 0.000 0.000 0.000 3.697" Properties=species:S:1:pos:R:3 pbc="T T T"
Zn 0.000 0.000 0.000
Sb 2.927 2.927 1.849
I 0.000 2.927 0.000
I 2.927 0.000 0.000
O 0.000 0.000 1.849
```

Calculated values
Total moment (Bohr magnetons per cell): 0.00
Formation energy from raw total energies (kJ/mol of atoms): -8
Energy relative to the lowest polymorph listed for this composition (eV/atom): 0.0724

Here is crystalline Pa2SiAg at its relaxed geometry from Alexandria. Energies are from PBE.

```
4
Lattice="4.374 0.000 0.000 0.000 4.374 0.000 0.000 0.000 4.431" Properties=species:S:1:pos:R:3 pbc="T T T"
Pa 0.000 2.187 0.000
Pa 2.187 0.000 0.000
Si 0.000 0.000 2.216
Ag 2.187 2.187 2.216
```

Calculated values
Total moment (Bohr magnetons per cell): 0.00
Formation energy from raw total energies (kJ/mol of atoms): -5
Energy relative to the lowest polymorph listed for this composition (eV/atom): 0.0000

Here is crystalline Zr2Co2Cu at its relaxed geometry from Alexandria. Energies are from PBE.

```
5
Lattice="-2.008 2.595 3.745 2.008 -2.595 3.745 2.008 2.595 -3.745" Properties=species:S:1:pos:R:3 pbc="T T T"
Zr 0.000 0.000 1.572
Zr 0.000 0.000 5.918
Co 2.008 1.139 0.000
Co 0.000 1.456 3.745
Cu 0.000 2.595 0.000
```

Calculated values
Total moment (Bohr magnetons per cell): 0.00
Calculated formation energy (meV/atom): -279
Energy relative to the lowest polymorph listed for this composition (eV/atom): 0.0000

Here is crystalline Pr4GaPb3 at its relaxed geometry from Alexandria. Energies are from PBE.

```
8
Lattice="4.455 0.000 0.000 0.000 4.724 0.000 0.000 0.000 11.892" Properties=species:S:1:pos:R:3 pbc="T T T"
Pr 0.000 0.000 0.000
Pr 0.000 2.362 5.756
Pr 2.228 0.000 8.547
Pr 2.228 2.362 2.633
Ga 0.000 0.000 3.184
Pb 0.000 2.362 9.028
Pb 2.228 0.000 5.163
Pb 2.228 2.362 11.278
```

Calculated values
Total moment (Bohr magnetons per cell): 0.00
Calculated formation energy (meV/atom): -569

Here is crystalline FeOs2Pb at its relaxed geometry from Alexandria. Energies are from PBE.

```
4
Lattice="2.893 0.000 0.000 0.000 4.403 0.000 -0.275 0.000 5.284" Properties=species:S:1:pos:R:3 pbc="T T T"
Fe 0.000 0.000 0.000
Os 0.512 2.202 4.199
Os 2.106 2.202 1.086
Pb 1.309 0.000 2.642
```

Calculated values
Total moment (Bohr magnetons per cell): 3.15
Calculated formation energy (meV/atom): 828

Here is crystalline SrInMo2 at its relaxed geometry from Alexandria. Energies are from PBE.

```
4
Lattice="-1.722 2.631 5.040 1.722 -2.631 5.040 1.722 2.631 -5.040" Properties=species:S:1:pos:R:3 pbc="T T T"
Sr 0.000 0.000 0.000
In 1.722 0.000 2.917
Mo 0.000 0.000 5.652
Mo 0.000 2.631 2.325
```

Calculated values
Total moment (Bohr magnetons per cell): 0.00
Calculated formation energy (meV/atom): 578

Here is crystalline Ta2Nb2V at its relaxed geometry from Alexandria. Energies are from PBE.

```
10
Lattice="4.838 0.000 0.000 0.000 9.179 0.000 0.000 0.000 4.190" Properties=species:S:1:pos:R:3 pbc="T T T"
Ta 0.998 1.080 0.000
Ta 1.421 5.669 0.000
Ta 3.417 3.510 0.000
Ta 3.840 8.099 0.000
Nb 0.423 3.067 2.095
Nb 1.996 7.657 2.095
Nb 2.842 1.522 2.095
Nb 4.415 6.111 2.095
V 0.000 0.000 2.095
V 2.419 4.589 2.095
```

Calculated values
Total moment (Bohr magnetons per cell): 0.00
Calculated formation energy (meV/atom): 520
Energy relative to the lowest polymorph listed for this composition (eV/atom): 0.0000

Here is crystalline InGe2S at its relaxed geometry from Alexandria. Energies are from PBE.

```
4
Lattice="0.000 3.443 3.443 3.443 0.000 3.443 3.443 3.443 0.000" Properties=species:S:1:pos:R:3 pbc="T T T"
In 0.000 0.000 0.000
Ge 1.721 1.721 1.721
Ge 5.164 5.164 5.164
S 3.443 3.443 3.443
```

Calculated values
Total moment (Bohr magnetons per cell): 0.00
Formation energy from raw total energies (kJ/mol of atoms): 32
Energy relative to the lowest polymorph listed for this composition (eV/atom): 0.1289

Here is crystalline CrInMo3 at its relaxed geometry from Alexandria. Energies are from PBE.

```
5
Lattice="4.529 0.000 0.000 0.000 4.529 0.000 0.000 0.000 4.529" Properties=species:S:1:pos:R:3 pbc="T T T"
Cr 0.000 0.000 0.000
In 2.265 2.265 2.265
Mo 0.000 0.000 2.265
Mo 0.000 2.265 0.000
Mo 2.265 0.000 0.000
```

Calculated values
Total moment (Bohr magnetons per cell): 0.00
Calculated formation energy (meV/atom): 1046
Energy relative to the lowest polymorph listed for this composition (eV/atom): 0.0000